(1)
{
  "formula": "Ac2Si3PdPt4",
  "functional": "PBE",
  "state": "optimized geometry",
  "cell": [[4.3697, 0.0000, 0.0000], [0.0000, 4.3697, 0.0000], [0.0000, 0.0000, 10.3780]],
  "species": ["Ac", "Ac", "Si", "Si", "Si", "Pd", "Pt", "Pt", "Pt", "Pt"],
  "frac_coords": [[0.0000, 0.5000, 0.2423], [0.5000, 0.0000, 0.7577], [0.0000, 0.0000, 0.0000], [0.0000, 0.5000, 0.6186], [0.5000, 0.0000, 0.3814], [0.5000, 0.5000, 0.0000], [0.0000, 0.0000, 0.5000], [0.0000, 0.5000, 0.8505], [0.5000, 0.0000, 0.1495], [0.5000, 0.5000, 0.5000]],
  "total_energy_ev_per_cell": -63.48,
  "dos_ef_per_ev_cell": 5.1,
  "total_magnetization_mub_per_fu": 0.0,
  "raw_formation_energy_mev_per_atom": -963.7
}



(2)
{
  "formula": "Ac2Si4PdPt3",
  "functional": "PBE",
  "state": "optimized geometry",
  "cell": [[4.3964, 0.0000, 0.0000], [0.0000, 4.3964, 0.0000], [0.0000, 0.0000, 10.0119]],
  "species": ["Ac", "Ac", "Si", "Si", "Si", "Si", "Pd", "Pt", "Pt", "Pt"],
  "frac_coords": [[0.0000, 0.5000, 0.2464], [0.5000, 0.0000, 0.7536], [0.0000, 0.0000, 0.0000], [0.0000, 0.5000, 0.6269], [0.5000, 0.0000, 0.3731], [0.5000, 0.5000, 0.0000], [0.0000, 0.0000, 0.5000], [0.0000, 0.5000, 0.8817], [0.5000, 0.0000, 0.1183], [0.5000, 0.5000, 0.5000]],
  "total_energy_ev_per_cell": -63.49,
  "dos_ef_per_ev_cell": 6.6,
  "total_magnetization_mub_per_fu": 0.0,
  "raw_formation_energy_mev_per_atom": -1026.5
}



(3)
{
  "formula": "AcSi2PdPt2",
  "functional": "PBE",
  "state": "optimized geometry",
  "cell": [[4.2757, 0.0000, 0.0000], [-2.1378, 3.7028, 0.0000], [0.0000, 0.0000, 7.2217]],
  "species": ["Ac", "Si", "Si", "Pd", "Pt", "Pt"],
  "frac_coords": [[0.0000, 0.0000, 0.0000], [0.3333, 0.6667, 0.3345], [0.6667, 0.3333, 0.6655], [0.0000, 0.0000, 0.5000], [0.3333, 0.6667, 0.6966], [0.6667, 0.3333, 0.3034]],
  "total_energy_ev_per_cell": -37.84,
  "dos_ef_per_ev_cell": 1.4,
  "total_magnetization_mub_per_fu": 0.0,
  "raw_formation_energy_mev_per_atom": -934.8
}



(4)
{
  "formula": "AcSmPdPt",
  "functional": "PBE",
  "state": "optimized geometry",
  "cell": [[0.0000, 3.6875, 3.6875], [3.6875, 0.0000, 3.6875], [3.6875, 3.6875, 0.0000]],
  "species": ["Ac", "Sm", "Pd", "Pt"],
  "frac_coords": [[0.0000, 0.0000, 0.0000], [0.5000, 0.5000, 0.5000], [0.7500, 0.7500, 0.7500], [0.2500, 0.2500, 0.2500]],
  "total_energy_ev_per_cell": -23.54,
  "dos_ef_per_ev_cell": 3.6,
  "e_above_lowest_polymorph_mev_per_atom": 116,
  "formation_enthalpy_0k_mev_per_atom": -869,
  "total_magnetization_mub_per_fu": 0.0
}



(5)
{
  "formula": "AcSmPdPt",
  "functional": "PBE",
  "state": "optimized geometry",
  "cell": [[4.6234, 0.0000, 0.0000], [0.0000, 2.0001, 5.5987], [0.0000, -2.0001, 5.5987]],
  "species": ["Ac", "Sm", "Pd", "Pt"],
  "frac_coords": [[0.0000, 0.0000, 0.0000], [0.5000, 0.2710, 0.2710], [0.5000, 0.5532, 0.5532], [0.0000, 0.7271, 0.7271]],
  "total_energy_ev_per_cell": -24.00,
  "dos_ef_per_ev_cell": 2.4,
  "e_above_lowest_polymorph_mev_per_atom": 0,
  "formation_enthalpy_0k_mev_per_atom": -986,
  "total_magnetization_mub_per_fu": 0.0
}



(6)
{
  "formula": "AcSnPdPt",
  "functional": "PBE",
  "state": "optimized geometry",
  "cell": [[4.0237, -2.3186, 0.0000], [4.0237, 2.3186, 0.0000], [-2.6731, 0.0000, 5.1917]],
  "species": ["Ac", "Sn", "Pd", "Pt"],
  "frac_coords": [[0.0000, 0.0000, 0.0000], [0.5013, 0.5013, 0.5040], [0.7923, 0.7923, 0.3767], [0.2094, 0.2094, 0.6280]],
  "total_energy_ev_per_cell": -22.84,
  "dos_ef_per_ev_cell": 2.6,
  "e_above_lowest_polymorph_mev_per_atom": 0,
  "formation_enthalpy_0k_mev_per_atom": -875,
  "total_magnetization_mub_per_fu": 0.0
}



(7)
{
  "formula": "AcSn2PdPt4",
  "functional": "PBE",
  "state": "optimized geometry",
  "cell": [[2.2512, 1.2997, 9.3808], [-2.2512, 1.2997, 9.3808], [0.0000, -2.5994, 9.3808]],
  "species": ["Ac", "Sn", "Sn", "Pd", "Pt", "Pt", "Pt", "Pt"],
  "frac_coords": [[0.0000, 0.0000, 0.0000], [0.2334, 0.2334, 0.2334], [0.7666, 0.7666, 0.7666], [0.5000, 0.5000, 0.5000], [0.1308, 0.1308, 0.1308], [0.4016, 0.4016, 0.4016], [0.5984, 0.5984, 0.5984], [0.8692, 0.8692, 0.8692]],
  "total_energy_ev_per_cell": -46.49,
  "dos_ef_per_ev_cell": 3.5,
  "formation_enthalpy_0k_mev_per_atom": -628,
  "total_magnetization_mub_per_fu": 0.0
}



(8)
{
  "formula": "AcSnPdPt",
  "functional": "PBE",
  "state": "optimized geometry",
  "cell": [[0.0000, 3.5941, 3.5941], [3.5941, 0.0000, 3.5941], [3.5941, 3.5941, 0.0000]],
  "species": ["Ac", "Sn", "Pd", "Pt"],
  "frac_coords": [[0.0000, 0.0000, 0.0000], [0.5000, 0.5000, 0.5000], [0.2500, 0.2500, 0.2500], [0.7500, 0.7500, 0.7500]],
  "total_energy_ev_per_cell": -22.11,
  "dos_ef_per_ev_cell": 3.0,
  "e_above_lowest_polymorph_mev_per_atom": 184,
  "formation_enthalpy_0k_mev_per_atom": -690,
  "total_magnetization_mub_per_fu": 0.0
}



(9)
{
  "formula": "Ac2Sn4Pd3Pt",
  "functional": "PBE",
  "state": "optimized geometry",
  "cell": [[4.7119, 0.0000, 0.0000], [0.0000, 4.7119, 0.0000], [0.0000, 0.0000, 10.8114]],
  "species": ["Ac", "Ac", "Sn", "Sn", "Sn", "Sn", "Pd", "Pd", "Pd", "Pt"],
  "frac_coords": [[0.0000, 0.5000, 0.2407], [0.5000, 0.0000, 0.7593], [0.0000, 0.0000, 0.5000], [0.0000, 0.5000, 0.8757], [0.5000, 0.0000, 0.1243], [0.5000, 0.5000, 0.5000], [0.0000, 0.0000, 0.0000], [0.0000, 0.5000, 0.6300], [0.5000, 0.0000, 0.3700], [0.5000, 0.5000, 0.0000]],
  "total_energy_ev_per_cell": -54.22,
  "dos_ef_per_ev_cell": 6.0,
  "formation_enthalpy_0k_mev_per_atom": -837,
  "total_magnetization_mub_per_fu": 0.0
}



(10)
{
  "formula": "Ac2Sn4PdPt3",
  "functional": "PBE",
  "state": "optimized geometry",
  "cell": [[4.7239, 0.0000, 0.0000], [0.0000, 4.7239, 0.0000], [0.0000, 0.0000, 10.7151]],
  "species": ["Ac", "Ac", "Sn", "Sn", "Sn", "Sn", "Pd", "Pt", "Pt", "Pt"],
  "frac_coords": [[0.0000, 0.5000, 0.2421], [0.5000, 0.0000, 0.7579], [0.0000, 0.0000, 0.5000], [0.0000, 0.5000, 0.8760], [0.5000, 0.0000, 0.1240], [0.5000, 0.5000, 0.5000], [0.5000, 0.5000, 0.0000], [0.0000, 0.0000, 0.0000], [0.0000, 0.5000, 0.6279], [0.5000, 0.0000, 0.3721]],
  "total_energy_ev_per_cell": -56.56,
  "dos_ef_per_ev_cell": 5.4,
  "formation_enthalpy_0k_mev_per_atom": -901,
  "total_magnetization_mub_per_fu": 0.0
}



(11)
{
  "formula": "AcSn2Pd5Pt",
  "functional": "PBE",
  "state": "optimized geometry",
  "cell": [[5.0795, 0.0000, 0.0000], [0.0000, 5.0795, 0.0000], [0.0000, 0.0000, 7.6584]],
  "species": ["Ac", "Sn", "Sn", "Pd", "Pd", "Pd", "Pd", "Pd", "Pt"],
  "frac_coords": [[0.0000, 0.0000, 0.0000], [0.5000, 0.5000, 0.3245], [0.5000, 0.5000, 0.6755], [0.0000, 0.5000, 0.3131], [0.0000, 0.5000, 0.6869], [0.5000, 0.0000, 0.3131], [0.5000, 0.0000, 0.6869], [0.5000, 0.5000, 0.0000], [0.0000, 0.0000, 0.5000]],
  "total_energy_ev_per_cell": -45.94,
  "dos_ef_per_ev_cell": 4.3,
  "formation_enthalpy_0k_mev_per_atom": -203,
  "total_magnetization_mub_per_fu": 0.0
}



(12)
{
  "formula": "Ac3Sn2Pd6Pt",
  "functional": "PBE",
  "state": "optimized geometry",
  "cell": [[5.8470, 0.0000, 0.0000], [-2.9235, 5.0636, 0.0000], [0.0000, 0.0000, 9.5163]],
  "species": ["Ac", "Ac", "Ac", "Sn", "Sn", "Pd", "Pd", "Pd", "Pd", "Pd", "Pd", "Pt"],
  "frac_coords": [[0.0000, 0.0000, 0.0000], [0.3333, 0.6667, 0.6078], [0.6667, 0.3333, 0.3922], [0.3333, 0.6667, 0.0452], [0.6667, 0.3333, 0.9548], [0.1697, 0.3393, 0.2785], [0.1697, 0.8303, 0.2785], [0.3393, 0.1697, 0.7215], [0.6607, 0.8303, 0.2785], [0.8303, 0.1697, 0.7215], [0.8303, 0.6607, 0.7215], [0.0000, 0.0000, 0.5000]],
  "total_energy_ev_per_cell": -66.14,
  "dos_ef_per_ev_cell": 5.9,
  "formation_enthalpy_0k_mev_per_atom": -718,
  "total_magnetization_mub_per_fu": 0.0
}



What did the third record say?
{
  "formula": "AcSi2PdPt2",
  "functional": "PBE",
  "state": "optimized geometry",
  "cell": [[4.2757, 0.0000, 0.0000], [-2.1378, 3.7028, 0.0000], [0.0000, 0.0000, 7.2217]],
  "species": ["Ac", "Si", "Si", "Pd", "Pt", "Pt"],
  "frac_coords": [[0.0000, 0.0000, 0.0000], [0.3333, 0.6667, 0.3345], [0.6667, 0.3333, 0.6655], [0.0000, 0.0000, 0.5000], [0.3333, 0.6667, 0.6966], [0.6667, 0.3333, 0.3034]],
  "total_energy_ev_per_cell": -37.84,
  "dos_ef_per_ev_cell": 1.4,
  "total_magnetization_mub_per_fu": 0.0,
  "raw_formation_energy_mev_per_atom": -934.8
}